[1]
ZrMo2P, optimized geometry, DFT PBE; calculated formation energy = -0.074 eV/atom; VASP energy = -8.979 eV per atom
1.0
1.680 -2.477 0.000
1.680 2.477 0.000
0.000 0.000 8.052
Zr Mo P
1 2 1
Cartesian
0.000 0.000 0.000 Zr
1.680 0.000 2.339 Mo
1.680 0.000 5.713 Mo
0.000 0.000 4.026 P

---

[2]
CeMgAg2, optimized geometry, DFT PBE; calculated formation energy = -0.169 eV/atom; VASP energy = -3.477 eV per atom
1.0
-2.510 2.540 3.570
2.510 -2.540 3.570
2.510 2.540 -3.570
Ce Mg Ag
1 1 2
Cartesian
0.000 0.000 0.000 Ce
0.000 0.000 3.570 Mg
2.510 0.000 1.816 Ag
0.000 2.540 1.753 Ag

---

> Which value of calculated formation energy does entry 2 give?

-0.169 eV/atom

---

> Among the records above, which one has the highest calculated formation energy?

ZrMo2P